Computed, not measured: a relaxed Pr3CoTe crystal at the PBE-GGA level of DFT.

a = 8.366 Å, b = 4.068 Å, c = 8.903 Å
α = 90.00°, β = 104.93°, γ = 90.00°
Atoms (fractional coordinates):
Pr (0.074, 0.250, 0.254)
Pr (0.303, 0.250, 0.936)
Pr (0.314, 0.750, 0.589)
Pr (0.686, 0.250, 0.411)
Pr (0.697, 0.750, 0.064)
Pr (0.926, 0.750, 0.746)
Co (0.050, 0.250, 0.569)
Co (0.950, 0.750, 0.431)
Te (0.389, 0.750, 0.235)
Te (0.611, 0.250, 0.765)

- total magnetic moment (Bohr magnetons per cell) = 0.2
- relative energy among the computed polymorphs (eV per atom) = 0.0000
- space-group type = No. 11
- crystal system = monoclinic
- uncorrected formation energy (eV per formula unit) = -2.95